DFT (GGA-PBE) results for a relaxed Rb2GaAsSe4 crystal.

Unit cell a=14.1023 b=12.5071 c=7.9372 alpha=84.06 beta=61.90 gamma=34.04
With the nearest neighbours (Å) after each atom.
Atoms (fractional coordinates):
Rb 0.0562 0.0562 0.6938  8 Se 3.67-4.01
Rb 0.3062 0.3062 0.9438  8 Se 3.67-4.01
Rb 0.6938 0.6938 0.0562  8 Se 3.67-4.01
Rb 0.9438 0.9438 0.3062  8 Se 3.67-4.01
Ga 0.1250 0.1250 0.1250  4 Se 2.45
Ga 0.8750 0.8750 0.8750  4 Se 2.45
As 0.3750 0.3750 0.3750  4 Se 2.61
As 0.6250 0.6250 0.6250  4 Se 2.61
Se 0.0483 0.3124 0.3975  1 Ga 2.45, 1 As 2.61
Se 0.2581 0.6025 0.6876  1 Ga 2.45, 1 As 2.61
Se 0.3124 0.0483 0.7419  1 Ga 2.45, 1 As 2.61
Se 0.3975 0.7419 0.0483  1 Ga 2.45, 1 As 2.61
Se 0.6025 0.2581 0.9517  1 Ga 2.45, 1 As 2.61
Se 0.6876 0.9517 0.2581  1 Ga 2.45, 1 As 2.61
Se 0.7419 0.3975 0.3124  1 Ga 2.45, 1 As 2.61
Se 0.9517 0.6876 0.6025  1 Ga 2.45, 1 As 2.61

Calculated values
size of the total moment	0.000	μB/f.u.
crystal system	orthorhombic
energy relative to the elements, uncorrected	-0.73	eV per atom

***

DFT (GGA-PBE) results for a relaxed RbGaAsSe2 crystal.

Unit cell a=6.2333 b=6.2333 c=6.4236 alpha=90.00 beta=90.00 gamma=90.00
With the nearest neighbours (Å) after each atom.
Atoms (fractional coordinates):
Rb 0.0000 0.0000 0.0000  4 Se 3.12, 2 As 3.21
Ga 0.5000 0.5000 0.5000  4 As 4.41, 8 Se 4.48
As 0.0000 0.0000 0.5000  2 Rb 3.21
Se 0.0000 0.5000 0.0000  2 Rb 3.12
Se 0.5000 0.0000 0.0000  2 Rb 3.12

Calculated values
size of the total moment	5.061	μB/f.u.
offset from the most stable computed form	540.9	kJ/mol of formula units
crystal system	tetragonal
energy relative to the elements, uncorrected	1.02	eV per atom

***

| no. | DOS at the Fermi energy (states/eV/atom) |
| --- | --- |
| 1 | 0.0000 |
| 2 | 1.0467 |